Entry 1:
PBE GdCuAu, optimized geometry; distance to the lowest polymorph of the same formula = 66 meV/atom; crystal system = tetragonal
1.0
3.6706 0.0000 0.0000
0.0000 3.6706 0.0000
0.0000 0.0000 9.0373
Gd Cu Au
2 2 2
Direct
0.0000 0.0000 0.0000 Gd
0.5000 0.5000 0.5000 Gd
0.0000 0.0000 0.6722 Cu
0.5000 0.5000 0.1722 Cu
0.0000 0.0000 0.3289 Au
0.5000 0.5000 0.8289 Au



Entry 2:
PBE Cs2P2HSe6, optimized geometry; crystal system = monoclinic; uncorrected energy = -39.86 eV/cell
1.0
6.7913 -3.5505 0.0000
6.7913 3.5505 0.0000
-2.9406 0.0000 7.7115
Cs P H Se
2 2 1 6
Direct
0.1990 0.1990 0.1914 Cs
0.8010 0.8010 0.8086 Cs
0.4603 0.4603 0.7393 P
0.5397 0.5397 0.2607 P
0.0000 0.0000 0.5000 H
0.1996 0.7303 0.2695 Se
0.2697 0.8004 0.7305 Se
0.2948 0.2948 0.6923 Se
0.7052 0.7052 0.3077 Se
0.7303 0.1996 0.2695 Se
0.8004 0.2697 0.7305 Se



Entry 3:
PBE Ba2LiHg2, optimized geometry; distance to the lowest polymorph of the same formula = 228 meV/atom; crystal system = tetragonal
1.0
4.5664 0.0000 0.0000
0.0000 4.5664 0.0000
0.0000 0.0000 19.4422
Ba Li Hg
4 2 4
Direct
0.0000 0.0000 0.1120 Ba
0.0000 0.0000 0.8880 Ba
0.5000 0.5000 0.3880 Ba
0.5000 0.5000 0.6120 Ba
0.0000 0.0000 0.5000 Li
0.5000 0.5000 0.0000 Li
0.0000 0.5000 0.2500 Hg
0.0000 0.5000 0.7500 Hg
0.5000 0.0000 0.2500 Hg
0.5000 0.0000 0.7500 Hg



Entry 4:
PBE LaCdGa, optimized geometry; crystal system = orthorhombic; uncorrected energy = -40.00 eV/cell
1.0
6.7711 0.0000 0.0000
0.0000 4.8516 0.0000
0.0000 0.0000 9.3941
La Cd Ga
4 4 4
Direct
0.1608 0.2500 0.0908 La
0.3392 0.7500 0.5908 La
0.6608 0.2500 0.4092 La
0.8392 0.7500 0.9092 La
0.1354 0.2500 0.4237 Cd
0.3646 0.7500 0.9237 Cd
0.6354 0.2500 0.0763 Cd
0.8646 0.7500 0.5763 Cd
0.0669 0.2500 0.7388 Ga
0.4331 0.7500 0.2388 Ga
0.5669 0.2500 0.7612 Ga
0.9331 0.7500 0.2612 Ga



Entry 5:
PBE ScAl2Cl, optimized geometry; distance to the lowest polymorph of the same formula = 0 meV/atom; crystal system = trigonal; energy relative to the elements, uncorrected = -0.53 eV per atom
1.0
3.2436 0.0000 0.0000
-1.6218 2.8091 0.0000
0.0000 0.0000 30.2304
Sc Al Cl
3 6 3
Direct
0.0000 0.0000 0.0000 Sc
0.3333 0.6667 0.6667 Sc
0.6667 0.3333 0.3333 Sc
0.0000 0.0000 0.4816 Al
0.0000 0.0000 0.7415 Al
0.3333 0.6667 0.1482 Al
0.3333 0.6667 0.4081 Al
0.6667 0.3333 0.0748 Al
0.6667 0.3333 0.8149 Al
0.0000 0.0000 0.2769 Cl
0.3333 0.6667 0.9435 Cl
0.6667 0.3333 0.6102 Cl



Entry 6:
PBE HfZnSCl2, optimized geometry; distance to the lowest polymorph of the same formula = 849 meV/atom; crystal system = tetragonal; energy relative to the elements, uncorrected = -0.06 eV per atom
1.0
4.6079 0.0000 0.0000
0.0000 4.6079 0.0000
0.0000 0.0000 4.9494
Hf Zn S Cl
1 1 1 2
Direct
0.0000 0.0000 0.0000 Hf
0.5000 0.5000 0.5000 Zn
0.5000 0.5000 0.0000 S
0.0000 0.5000 0.5000 Cl
0.5000 0.0000 0.5000 Cl



Entry 7:
PBE Ag2H6IrPd, optimized geometry; crystal system = triclinic; uncorrected energy = -38.90 eV/cell
1.0
4.9621 0.0000 0.0000
2.4552 4.3263 0.0000
2.4810 1.4504 4.1442
Ag H Ir Pd
2 6 1 1
Direct
0.2473 0.2501 0.2537 Ag
0.7527 0.7499 0.7463 Ag
0.1993 0.7403 0.7400 H
0.2607 0.6764 0.2579 H
0.3260 0.1923 0.7507 H
0.6740 0.8077 0.2493 H
0.7393 0.3236 0.7421 H
0.8007 0.2597 0.2600 H
0.5000 0.5000 0.5000 Ir
0.0000 0.0000 0.0000 Pd



Entry 8:
PBE AcAgAsO4, optimized geometry; crystal system = orthorhombic; energy relative to the elements, uncorrected = -1.67 eV per atom
1.0
-2.9704 4.1672 4.6696
2.9704 -4.1672 4.6696
2.9704 4.1672 -4.6696
Ac Ag As O
2 2 2 8
Direct
0.0000 0.0000 0.0000 Ac
0.5000 0.0000 0.5000 Ac
0.5000 0.0000 0.0000 Ag
0.5000 0.5000 0.5000 Ag
0.1121 0.3621 0.7500 As
0.8879 0.6379 0.2500 As
0.1587 0.7298 0.4289 O
0.1992 0.2702 0.9289 O
0.2249 0.2373 0.5124 O
0.2249 0.7125 0.9876 O
0.7751 0.2875 0.0124 O
0.7751 0.7627 0.4876 O
0.8008 0.7298 0.0711 O
0.8413 0.2702 0.5711 O



no.,D(E_F) (states/eV/cell)
1,2.9
2,3.5
3,12.6
4,5.7
5,8.9
6,4.0
7,1.0
8,2.8